(1)
# CsAgF2

An optimized crystal structure of CsAgF2 (GGA-PBEsol, Alexandria).

Summary:
E above lowest polymorph: 0.057 eV/atom
E_form (uncorrected): -1708 meV per atom
Total magnetization: 0.00 μB per atom
Space-group type: No. 122

a b c (Å): 7.5187 7.5187 7.5187
angles (deg): 137.55 137.55 61.59
Closest atoms and distances in Å follow each position.
Positions (direct):
Cs  0.0000  0.0000  0.0000  4 F 2.81
Cs  0.7500  0.2500  0.5000  4 F 2.81
Ag  0.2500  0.7500  0.5000  4 F 2.28
Ag  0.5000  0.5000  0.0000  4 F 2.28
F  0.2152  0.6250  0.0902  2 Ag 2.28
F  0.3750  0.4652  0.5902  2 Ag 2.28
F  0.5348  0.1250  0.9098  2 Ag 2.28
F  0.8750  0.7848  0.4098  2 Ag 2.28

(2)
# Mg2TlHg

An optimized crystal structure of Mg2TlHg (GGA-PBEsol, Alexandria).

Summary:
DFT formation energy: -0.153 eV/atom
Total magnetization: 0.00 μB per atom
Space-group type: No. 166

a b c (Å): 9.3781 9.3781 9.3781
angles (deg): 20.81 20.81 20.81
Closest atoms and distances in Å follow each position.
Positions (direct):
Mg  0.2453  0.2453  0.2453  3 Hg 2.92, 3 Tl 3.11
Mg  0.7547  0.7547  0.7547  3 Hg 2.92, 3 Tl 3.11
Tl  0.0000  0.0000  0.0000  6 Mg 3.11, 6 Tl 3.39
Hg  0.5000  0.5000  0.5000  6 Mg 2.92

(3)
# Ti2CdFe2

An optimized crystal structure of Ti2CdFe2 (GGA-PBEsol, Alexandria).

Summary:
DFT formation energy: 0.217 eV/atom
Total magnetization: 0.33 μB per atom
Space-group type: No. 139

a b c (Å): 7.2877 7.2877 7.2877
angles (deg): 153.11 153.11 38.40
Closest atoms and distances in Å follow each position.
Positions (direct):
Ti  0.1240  0.1240  0.0000  4 Fe 2.43
Ti  0.8760  0.8760  0.0000  4 Fe 2.43
Cd  0.5000  0.5000  0.0000  8 Ti 2.94
Fe  0.2500  0.7500  0.5000  4 Fe 2.40, 4 Ti 2.43
Fe  0.7500  0.2500  0.5000  4 Fe 2.40, 4 Ti 2.43

(4)
# AlH2RhI

An optimized crystal structure of AlH2RhI (GGA-PBEsol, Alexandria).

Summary:
Energy: -3.43 eV per atom
Total magnetization: 0.00 μB per atom
Space-group type: No. 123

a b c (Å): 3.6114 3.6114 6.6847
angles (deg): 90.00 90.00 90.00
Closest atoms and distances in Å follow each position.
Positions (direct):
Al  0.0000  0.0000  0.0000  4 Rh 2.55
H  0.0000  0.5000  0.5000  2 I 1.81
H  0.5000  0.0000  0.5000  2 I 1.81
Rh  0.5000  0.5000  0.0000  4 Al 2.55
I  0.0000  0.0000  0.5000  4 H 1.81

(5)
# HgGeBr2

An optimized crystal structure of HgGeBr2 (GGA-PBEsol, Alexandria).

Summary:
E_form (uncorrected): -311 meV per atom
Total magnetization: 0.00 μB per atom
Space-group type: No. 166

a b c (Å): 10.6814 10.6814 10.6814
angles (deg): 20.97 20.97 20.97
Closest atoms and distances in Å follow each position.
Positions (direct):
Hg  0.0000  0.0000  0.0000  2 Br 3.57, 6 Hg 3.89
Ge  0.5000  0.5000  0.5000  6 Br 2.79
Br  0.1140  0.1140  0.1140  3 Ge 2.79
Br  0.8860  0.8860  0.8860  3 Ge 2.79

(6)
# CaAsP2

An optimized crystal structure of CaAsP2 (GGA-PBEsol, Alexandria).

Summary:
DFT formation energy: -0.226 eV/atom
Total magnetization: 0.00 μB per atom
Space-group type: No. 65

a b c (Å): 4.3205 4.3205 3.8520
angles (deg): 90.00 90.00 90.19
Closest atoms and distances in Å follow each position.
Positions (direct):
Ca  0.0000  0.0000  0.0000  8 P 2.89, 4 As 3.05-3.06
As  0.5000  0.5000  0.0000  8 P 2.89, 4 Ca 3.05-3.06
P  0.0000  0.5000  0.5000  4 As 2.89, 4 Ca 2.89, 4 P 3.05-3.06
P  0.5000  0.0000  0.5000  4 As 2.89, 4 Ca 2.89, 4 P 3.05-3.06

(7)
# Re2SnS

An optimized crystal structure of Re2SnS (GGA-PBEsol, Alexandria).

Summary:
E_form (uncorrected): 701 meV per atom
Total magnetization: 0.00 μB per atom
Space-group type: No. 225

a b c (Å): 4.4184 4.4184 4.4184
angles (deg): 60.00 60.00 60.00
Closest atoms and distances in Å follow each position.
Positions (direct):
Re  0.2500  0.2500  0.2500  4 S 2.71, 4 Sn 2.71
Re  0.7500  0.7500  0.7500  4 S 2.71, 4 Sn 2.71
Sn  0.0000  0.0000  0.0000  8 Re 2.71
S  0.5000  0.5000  0.5000  8 Re 2.71

(8)
# ZnCu2Tc

An optimized crystal structure of ZnCu2Tc (GGA-PBEsol, Alexandria).

Summary:
DFT formation energy: 0.108 eV/atom
Total magnetization: 0.00 μB per atom
Space-group type: No. 160

a b c (Å): 8.6531 8.6531 8.6531
angles (deg): 17.39 17.39 17.39
Closest atoms and distances in Å follow each position.
Positions (direct):
Zn  0.0000  0.0000  0.0000  3 Cu 2.58, 6 Zn 2.62, 3 Tc 2.72
Cu  0.2516  0.2516  0.2516  9 Cu 2.52-2.62, 3 Zn 2.58
Cu  0.5061  0.5061  0.5061  9 Cu 2.52-2.62, 3 Tc 2.63
Tc  0.7550  0.7550  0.7550  6 Tc 2.62, 3 Cu 2.63, 3 Zn 2.72

Question: Among the records above, which one has the highest total magnetization?
Answer: Ti2CdFe2

Question: Which value of total magnetization does entry 7 give?
Answer: 0.00 μB per atom